The following is a PBE calculation of a relaxed CoTeSe2 crystal, from Alexandria via LeMat-Bulk.

The uncorrected formation energy is -14 kJ/mol of atoms.

a = 3.678 Å, b = 5.895 Å, c = 10.950 Å
α = 122.12°, β = 87.68°, γ = 92.86°
Fractional positions:
Co 0.263 0.820 0.546
Co 0.792 0.366 0.558
Te 0.780 0.788 0.146
Te 0.275 0.398 0.958
Se 0.758 0.543 0.410
Se 0.285 0.063 0.427
Se 0.298 0.643 0.693
Se 0.771 0.123 0.676